# Ti2ReMoI (SCAN, PBEsol geometry)
data_Ti2ReMoI
_chemical_formula_sum 'Ti2 Re1 Mo1 I1'
_space_group_name_H-M_alt 'P 4/m m m'
_space_group_IT_number 123
_space_group_name_Hall '-P 4 2'
_cell_length_a 4.549
_cell_length_b 4.549
_cell_length_c 4.984
_cell_angle_alpha 90.00
_cell_angle_beta 90.00
_cell_angle_gamma 90.00
loop_
_atom_site_label
_atom_site_type_symbol
_atom_site_fract_x
_atom_site_fract_y
_atom_site_fract_z
Ti1 Ti 0.000 0.500 0.000
Re1 Re 0.000 0.000 0.500
Mo1 Mo 0.500 0.500 0.000
I1 I 0.500 0.500 0.500
# - uncorrected energy (eV per atom) = -33.1424
# - calculated volume (Å³/cell) = 103.14
# - ΔE_f (raw) (eV per atom) = 1.81